Record 1
VASP calculation (PBE) on a relaxed Ho7ErSc2 crystal.

## Properties
Formation enthalpy at 0 K   0.667 eV/atom
Space-group type   Cmmm (65)
Total DFT energy (no corrections)   -4.260 eV/atom
DOS at the Fermi energy   1.423 states/eV per atom
Calculated volume   362.6 Å³/cell

Lattice parameters (Å, degrees): 5.507 8.717 8.717 119.95 90.00 90.00
Positions (direct):
Ho 0.000 0.763 0.237
Ho 0.500 0.500 0.500
Ho 0.500 0.938 0.700
Sc 0.500 0.294 0.706
Ho 0.000 0.237 0.763
Er 0.000 0.000 0.000
Ho 0.500 0.700 0.938
Ho 0.500 0.062 0.300
Ho 0.500 0.300 0.062
Sc 0.500 0.706 0.294

Record 2
VASP calculation (PBE) on a relaxed Ho2Er5Sc crystal.

## Properties
Formation enthalpy at 0 K   0.031 eV/atom
Space-group type   Pbam (55)
Total DFT energy (no corrections)   -4.757 eV/atom
Relative energy among the computed polymorphs   0.175 eV/f.u.
DOS at the Fermi energy   1.298 states/eV per atom
Calculated volume   476.2 Å³/cell

Lattice parameters (Å, degrees): 4.913 6.960 13.928 90.00 90.00 90.00
Positions (direct):
Sc 0.000 0.000 0.500
Er 0.000 0.501 0.248
Ho 0.500 0.752 0.376
Er 0.500 0.250 0.876
Er 0.500 0.750 0.624
Er 0.000 0.000 0.000
Er 0.500 0.750 0.124
Er 0.500 0.250 0.376
Ho 0.500 0.248 0.624
Er 0.000 0.499 0.752
Er 0.000 0.500 0.500
Er 0.000 0.001 0.252
Ho 0.500 0.748 0.876
Sc 0.000 0.500 0.000
Ho 0.500 0.252 0.124
Er 0.000 0.999 0.748

Record 3
VASP calculation (PBE) on a relaxed Ho2Er4Sc3 crystal.

## Properties
Formation enthalpy at 0 K   0.111 eV/atom
Space-group type   C2/c (15)
Total DFT energy (no corrections)   -5.045 eV/atom
Relative energy among the computed polymorphs   0.303 eV/f.u.
DOS at the Fermi energy   1.449 states/eV per atom
Calculated volume   514.1 Å³/cell

Lattice parameters (Å, degrees): 6.000 9.505 9.505 72.14 86.12 86.12
Positions (direct):
Ho 0.176 0.761 0.476
Er 0.843 0.427 0.143
Ho 0.324 0.524 0.239
Er 0.657 0.857 0.573
Sc 0.084 0.932 0.735
Er 0.491 0.906 0.190
Er 0.009 0.810 0.094
Er 0.343 0.143 0.427
Sc 0.916 0.068 0.265
Er 0.157 0.573 0.857
Ho 0.676 0.476 0.761
Er 0.509 0.094 0.810
Sc 0.416 0.265 0.068
Ho 0.824 0.239 0.524
Sc 0.750 0.598 0.402
Sc 0.250 0.402 0.598
Sc 0.584 0.735 0.932
Er 0.991 0.190 0.906

Record 4
VASP calculation (PBE) on a relaxed Ho5Er4Sc4 crystal.

## Properties
Formation enthalpy at 0 K   0.044 eV/atom
Space-group type   I4/m (87)
Total DFT energy (no corrections)   -5.069 eV/atom
DOS at the Fermi energy   1.539 states/eV per atom
Calculated volume   373.5 Å³/cell

Lattice parameters (Å, degrees): 4.865 9.093 9.093 85.90 74.48 74.48
Positions (direct):
Ho 0.692 0.849 0.766
Er 0.382 0.696 0.540
Er 0.922 0.460 0.696
Sc 0.845 0.923 0.388
Ho 0.541 0.766 0.151
Sc 0.155 0.077 0.612
Sc 0.768 0.388 0.077
Ho 0.000 0.000 0.000
Ho 0.308 0.151 0.234
Sc 0.232 0.612 0.923
Ho 0.459 0.234 0.849
Er 0.618 0.304 0.460
Er 0.078 0.540 0.304

Record 5
VASP calculation (PBE) on a relaxed Ho6Er5Sc crystal.

## Properties
Formation enthalpy at 0 K   0.029 eV/atom
Space-group type   C2/m (12)
Total DFT energy (no corrections)   -4.688 eV/atom
DOS at the Fermi energy   1.424 states/eV per atom
Calculated volume   361.9 Å³/cell

Lattice parameters (Å, degrees): 11.578 6.058 6.052 59.97 85.01 79.99
Positions (direct):
Sc 0.000 0.000 0.000
Er 0.500 0.834 0.333
Er 0.500 0.500 0.000
Er 0.000 0.667 0.667
Ho 0.752 0.413 0.669
Ho 0.248 0.249 0.000
Ho 0.752 0.751 0.000
Ho 0.248 0.918 0.669
Er 0.000 0.333 0.333
Ho 0.752 0.082 0.331
Er 0.500 0.166 0.667
Ho 0.248 0.587 0.331

Record 6
VASP calculation (PBE) on a relaxed Ho5Er4Sc crystal.

## Properties
Formation enthalpy at 0 K   0.031 eV/atom
Space-group type   P-1 (2)
Total DFT energy (no corrections)   -4.716 eV/atom
Relative energy among the computed polymorphs   0.000 eV/f.u.
DOS at the Fermi energy   1.405 states/eV per atom
Calculated volume   300.8 Å³/cell

Lattice parameters (Å, degrees): 3.503 9.836 10.482 103.57 120.08 90.07
Positions (direct):
Sc 0.500 0.000 0.000
Ho 0.500 0.500 0.000
Er 0.296 0.295 0.197
Ho 0.902 0.901 0.601
Er 0.706 0.197 0.804
Ho 0.099 0.600 0.399
Ho 0.901 0.400 0.601
Ho 0.098 0.099 0.399
Er 0.704 0.705 0.803
Er 0.294 0.803 0.196

Record 7
VASP calculation (PBE) on a relaxed Ho7ErSc12 crystal.

## Properties
Formation enthalpy at 0 K   0.224 eV/atom
Space-group type   R-3 (148)
Total DFT energy (no corrections)   -5.405 eV/atom
DOS at the Fermi energy   2.094 states/eV per atom
Calculated volume   561.1 Å³/cell

Lattice parameters (Å, degrees): 8.256 8.256 8.256 87.41 87.41 87.41
Positions (direct):
Sc 0.726 0.851 0.274
Sc 0.726 0.274 0.149
Ho 0.394 0.058 0.160
Sc 0.132 0.494 0.624
Ho 0.058 0.160 0.394
Sc 0.274 0.149 0.726
Sc 0.506 0.376 0.868
Ho 0.942 0.840 0.606
Ho 0.160 0.394 0.058
Sc 0.149 0.726 0.274
Ho 0.840 0.606 0.942
Ho 0.606 0.942 0.840
Sc 0.624 0.132 0.494
Sc 0.274 0.726 0.851
Sc 0.868 0.506 0.376
Er 0.000 0.000 0.000
Sc 0.376 0.868 0.506
Sc 0.494 0.624 0.132
Ho 0.500 0.500 0.500
Sc 0.851 0.274 0.726

Record 8
VASP calculation (PBE) on a relaxed Ho8Er6Sc crystal.

## Properties
Formation enthalpy at 0 K   0.124 eV/atom
Space-group type   R-3 (148)
Total DFT energy (no corrections)   -4.565 eV/atom
Relative energy among the computed polymorphs   0.000 eV/f.u.
DOS at the Fermi energy   1.561 states/eV per atom
Calculated volume   466.3 Å³/cell

Lattice parameters (Å, degrees): 8.926 8.926 8.499 58.32 58.32 60.00
Positions (direct):
Ho 0.423 0.423 0.730
Ho 0.722 0.109 0.424
Er 0.455 0.885 0.879
Ho 0.256 0.278 0.576
Ho 0.109 0.744 0.424
Ho 0.577 0.577 0.270
Er 0.219 0.545 0.121
Er 0.115 0.219 0.121
Er 0.545 0.115 0.121
Er 0.781 0.455 0.879
Ho 0.891 0.256 0.576
Er 0.885 0.781 0.879
Ho 0.744 0.722 0.424
Sc 0.000 0.000 0.000
Ho 0.278 0.891 0.576

Record 9
VASP calculation (PBE) on a relaxed Ho2ErSc4 crystal.

## Properties
Formation enthalpy at 0 K   0.173 eV/atom
Space-group type   Cmmm (65)
Total DFT energy (no corrections)   -5.405 eV/atom
Relative energy among the computed polymorphs   0.000 eV/f.u.
DOS at the Fermi energy   1.667 states/eV per atom
Calculated volume   196.0 Å³/cell

Lattice parameters (Å, degrees): 5.220 3.594 10.603 99.76 90.00 90.00
Positions (direct):
Ho 0.500 0.927 0.853
Sc 0.000 0.820 0.641
Sc 0.500 0.697 0.394
Sc 0.500 0.303 0.606
Er 0.000 0.500 0.000
Ho 0.500 0.073 0.147
Sc 0.000 0.180 0.359

Record 10
VASP calculation (PBE) on a relaxed HoErSc2 crystal.

## Properties
Formation enthalpy at 0 K   0.238 eV/atom
Space-group type   R-3m (166)
Total DFT energy (no corrections)   -5.213 eV/atom
Relative energy among the computed polymorphs   0.786 eV/f.u.
DOS at the Fermi energy   1.882 states/eV per atom
Calculated volume   112.8 Å³/cell

Lattice parameters (Å, degrees): 3.318 3.318 11.978 82.04 82.04 60.00
Last column: magnetic moment on the atom in μB.
Positions (direct):
Ho 0.000 0.000 0.000  0.33
Sc 0.090 0.090 0.730  0.15
Sc 0.910 0.910 0.270  0.15
Er 0.500 0.500 0.500  0.00

Record 11
VASP calculation (PBE) on a relaxed Ho5Er3Sc3 crystal.

## Properties
Formation enthalpy at 0 K   0.791 eV/atom
Space-group type   P-62m (189)
Total DFT energy (no corrections)   -4.261 eV/atom
DOS at the Fermi energy   1.768 states/eV per atom
Calculated volume   405.4 Å³/cell

Lattice parameters (Å, degrees): 5.450 9.268 9.268 120.00 90.00 90.00
Positions (direct):
Er 0.000 0.465 0.465
Ho 0.500 0.333 0.667
Sc 0.500 0.000 0.378
Ho 0.500 0.255 0.255
Ho 0.500 0.667 0.333
Er 0.000 0.000 0.535
Ho 0.500 0.000 0.745
Sc 0.500 0.378 0.000
Er 0.000 0.535 0.000
Sc 0.500 0.622 0.622
Ho 0.500 0.745 0.000

Record 12
VASP calculation (PBE) on a relaxed Ho4Er3Sc2 crystal.

## Properties
Formation enthalpy at 0 K   0.107 eV/atom
Space-group type   C2/c (15)
Total DFT energy (no corrections)   -4.856 eV/atom
Relative energy among the computed polymorphs   0.139 eV/f.u.
DOS at the Fermi energy   1.479 states/eV per atom
Calculated volume   528.6 Å³/cell

Lattice parameters (Å, degrees): 5.867 9.833 9.833 69.85 84.31 84.31
Positions (direct):
Sc 0.703 0.486 0.713
Er 0.579 0.676 0.984
Sc 0.797 0.287 0.514
Ho 0.546 0.048 0.822
Er 0.250 0.356 0.644
Er 0.750 0.644 0.356
Er 0.421 0.324 0.016
Sc 0.203 0.713 0.486
Ho 0.954 0.178 0.952
Ho 0.394 0.173 0.384
Ho 0.046 0.822 0.048
Er 0.079 0.984 0.676
Ho 0.606 0.827 0.616
Ho 0.106 0.616 0.827
Er 0.921 0.016 0.324
Ho 0.454 0.952 0.178
Sc 0.297 0.514 0.287
Ho 0.894 0.384 0.173